Entry 1:
10
Lattice="-3.543 1.680 -1.918 0.518 -2.740 -3.358 -5.004 -7.180 7.924" Properties=species:S:1:pos:R:3 comment="Cd2Ag3Br3O2 | the Alexandria database | PBE | relaxed" space_group=I4/mmm energy_ev_per_fu=-30.52 raw_formation_energy_mev_per_atom=-520 n_ef_per_ev_cell=1.9 pbc="T T T"
Br -3.100 -2.408 -1.350
Br -4.930 -5.832 3.999
Br 0.000 0.000 0.000
Cd -2.999 -5.225 0.964
Cd -5.030 -3.015 1.684
Ag -1.546 -1.829 1.254
Ag -1.513 -0.530 -2.638
Ag -6.484 -6.412 1.394
O -5.145 -4.828 0.309
O -2.884 -3.412 2.339



Entry 2:
24
Lattice="8.095 -11.865 0.000 8.095 11.865 0.000 0.000 0.000 3.562" Properties=species:S:1:pos:R:3 comment="La4Sm9Cd11 | the Alexandria database | PBE | relaxed" space_group=Cmmm energy_ev_per_fu=-78.28 e_form_mev_per_atom=-251 n_ef_per_ev_cell=26.9 pbc="T T T"
Cd 3.639 -4.364 0.000
Cd 12.552 4.364 0.000
Cd 8.095 7.423 0.000
Cd 12.940 0.000 0.000
Cd 3.639 4.364 0.000
Cd 0.000 0.000 0.000
Cd 12.552 -4.364 0.000
Cd 8.095 -7.423 0.000
Cd 3.251 0.000 0.000
Cd 8.095 -3.087 0.000
Cd 8.095 3.087 0.000
Sm 8.095 0.000 1.781
Sm 14.422 -2.306 1.781
Sm 6.216 -5.383 1.781
Sm 1.769 -2.306 1.781
Sm 9.975 -5.383 1.781
Sm 6.216 5.383 1.781
Sm 14.422 2.306 1.781
Sm 1.769 2.306 1.781
Sm 9.975 5.383 1.781
La 5.395 1.968 1.781
La 10.795 1.968 1.781
La 10.795 -1.968 1.781
La 5.395 -1.968 1.781



Entry 3:
20
Lattice="-5.692 7.669 0.857 1.808 1.451 -8.425 -6.301 -5.728 1.961" Properties=species:S:1:pos:R:3 comment="Sm2DyYEr6 | the Alexandria database | PBE | relaxed" space_group=C2/c energy_ev_per_fu=-46.71 e_form_mev_per_atom=117 n_ef_per_ev_cell=27.2 pbc="T T T"
Dy -4.419 -0.885 -2.058
Dy -5.766 4.277 -3.549
Er -4.795 -3.651 0.442
Er -7.563 -1.236 -0.049
Er -7.645 4.303 -0.707
Er -5.389 7.043 -6.049
Er -2.700 1.387 -7.128
Er -10.019 1.261 -0.971
Er -2.622 4.627 -5.558
Er -2.539 -0.911 -4.900
Er -3.088 1.984 -3.328
Er -0.166 2.131 -4.636
Er -7.485 2.005 1.521
Er -7.097 1.408 -2.280
Sm -0.920 -0.344 -2.119
Sm -5.549 0.671 -5.030
Sm -4.636 2.720 -0.577
Sm -9.264 3.736 -3.489
Y 0.227 3.229 -8.008
Y -10.412 0.163 2.401



Entry 4:
3
Lattice="-4.587 -5.821 -0.738 -6.142 -3.455 -1.535 1.020 -1.555 -2.279" Properties=species:S:1:pos:R:3 comment="TcHgP | the Alexandria database | PBE | relaxed" space_group=Fmm2 energy_ev_per_fu=-15.18 e_form_mev_per_atom=300 e_above_lowest_polymorph_mev_per_atom=272 n_ef_per_ev_cell=2.0 pbc="T T T"
P -7.197 -6.955 -2.275
Tc -2.650 -3.967 -2.277
Hg -10.590 -9.184 -2.273



Entry 5:
9
Lattice="-3.000 0.320 1.588 -2.593 -4.479 -3.996 2.778 -1.851 5.622" Properties=species:S:1:pos:R:3 comment="PuPb2O3F3 | the Alexandria database | PBE | relaxed" space_group=P-62m energy_ev_per_fu=-62.20 raw_formation_energy_mev_per_atom=-2218 n_ef_per_ev_cell=6.3 pbc="T T T"
F 1.103 -0.735 2.233
F 0.112 -3.817 0.980
F -1.030 -1.779 -1.587
Pb -0.512 -2.568 3.210
Pb -2.302 -3.444 0.004
O 0.637 -1.264 5.118
O -1.457 -1.302 1.169
O -3.494 -3.285 -2.280
Pu 0.000 0.000 0.000



Entry 6:
5
Lattice="-0.667 -4.555 0.031 2.893 -0.399 3.558 -3.518 0.536 2.920" Properties=species:S:1:pos:R:3 comment="TiTcS3 | the Alexandria database | PBE | relaxed" space_group=Pm-3m energy_ev_per_fu=-29.25 raw_formation_energy_mev_per_atom=279 e_above_lowest_polymorph_mev_per_atom=960 n_ef_per_ev_cell=8.8 pbc="T T T"
Tc 0.000 0.000 0.000
S -1.759 0.268 1.460
S -0.334 -2.277 0.016
S 1.447 -0.200 1.779
Ti -0.646 -2.209 3.255



Repeat the third record exactly.
20
Lattice="-5.692 7.669 0.857 1.808 1.451 -8.425 -6.301 -5.728 1.961" Properties=species:S:1:pos:R:3 comment="Sm2DyYEr6 | the Alexandria database | PBE | relaxed" space_group=C2/c energy_ev_per_fu=-46.71 e_form_mev_per_atom=117 n_ef_per_ev_cell=27.2 pbc="T T T"
Dy -4.419 -0.885 -2.058
Dy -5.766 4.277 -3.549
Er -4.795 -3.651 0.442
Er -7.563 -1.236 -0.049
Er -7.645 4.303 -0.707
Er -5.389 7.043 -6.049
Er -2.700 1.387 -7.128
Er -10.019 1.261 -0.971
Er -2.622 4.627 -5.558
Er -2.539 -0.911 -4.900
Er -3.088 1.984 -3.328
Er -0.166 2.131 -4.636
Er -7.485 2.005 1.521
Er -7.097 1.408 -2.280
Sm -0.920 -0.344 -2.119
Sm -5.549 0.671 -5.030
Sm -4.636 2.720 -0.577
Sm -9.264 3.736 -3.489
Y 0.227 3.229 -8.008
Y -10.412 0.163 2.401